Computed, not measured: RuSe2Cl after structural relaxation at the PBE level of DFT.

```
data_RuSe2Cl
_chemical_formula_sum 'Ru1 Se2 Cl1'
_cell_length_a 4.984
_cell_length_b 4.984
_cell_length_c 3.361
_cell_angle_alpha 90.00
_cell_angle_beta 90.00
_cell_angle_gamma 118.26
_space_group_name_H-M_alt 'P 1'
_space_group_IT_number 1
loop_
_space_group_symop_operation_xyz
'x,y,z'
loop_
_atom_site_label
_atom_site_fract_x
_atom_site_fract_y
_atom_site_fract_z
Ru1 0.000 0.000 0.000
Se1 0.000 0.500 0.500
Se2 0.500 0.000 0.500
Cl1 0.500 0.500 0.000
```

Properties
The mass density comes out at 6.649 g cm⁻³. The space group is Cmmm (65).



Computed, not measured: RuSe2Cl after structural relaxation at the PBE level of DFT.

```
data_RuSe2Cl
_chemical_formula_sum 'Ru1 Se2 Cl1'
_cell_length_a 7.658
_cell_length_b 7.658
_cell_length_c 7.658
_cell_angle_alpha 26.81
_cell_angle_beta 26.81
_cell_angle_gamma 26.81
_space_group_name_H-M_alt 'P 1'
_space_group_IT_number 1
loop_
_space_group_symop_operation_xyz
'x,y,z'
loop_
_atom_site_label
_atom_site_fract_x
_atom_site_fract_y
_atom_site_fract_z
Ru1 0.000 0.000 0.000
Se1 0.268 0.268 0.268
Se2 0.732 0.732 0.732
Cl1 0.500 0.500 0.500
```

Properties
The mass density comes out at 6.071 g cm⁻³. The space group is R-3m (166).



Computed, not measured: RuSe2Cl after structural relaxation at the PBE level of DFT.

```
data_RuSe2Cl
_chemical_formula_sum 'Ru1 Se2 Cl1'
_cell_length_a 9.554
_cell_length_b 9.554
_cell_length_c 9.554
_cell_angle_alpha 19.77
_cell_angle_beta 19.77
_cell_angle_gamma 19.77
_space_group_name_H-M_alt 'P 1'
_space_group_IT_number 1
loop_
_space_group_symop_operation_xyz
'x,y,z'
loop_
_atom_site_label
_atom_site_fract_x
_atom_site_fract_y
_atom_site_fract_z
Ru1 0.000 0.000 0.000
Se1 0.476 0.476 0.476
Se2 0.720 0.720 0.720
Cl1 0.272 0.272 0.272
```

Properties
The mass density comes out at 5.605 g cm⁻³. The space group is R3m (160).



Computed, not measured: Ru2SeCl after structural relaxation at the PBE level of DFT.

```
data_Ru2SeCl
_chemical_formula_sum 'Ru2 Se1 Cl1'
_cell_length_a 2.952
_cell_length_b 3.585
_cell_length_c 7.591
_cell_angle_alpha 90.00
_cell_angle_beta 100.42
_cell_angle_gamma 90.00
_space_group_name_H-M_alt 'P 1'
_space_group_IT_number 1
loop_
_space_group_symop_operation_xyz
'x,y,z'
loop_
_atom_site_label
_atom_site_fract_x
_atom_site_fract_y
_atom_site_fract_z
Ru1 0.000 0.000 0.000
Ru2 0.421 0.500 0.831
Se1 0.577 0.500 0.165
Cl1 0.319 0.000 0.610
```

Properties
The mass density comes out at 6.653 g cm⁻³. The space group is Pm (6).



Computed, not measured: Ru2SeCl after structural relaxation at the PBE level of DFT.

```
data_Ru2SeCl
_chemical_formula_sum 'Ru2 Se1 Cl1'
_cell_length_a 2.918
_cell_length_b 2.918
_cell_length_c 8.581
_cell_angle_alpha 90.00
_cell_angle_beta 90.00
_cell_angle_gamma 90.00
_space_group_name_H-M_alt 'P 1'
_space_group_IT_number 1
loop_
_space_group_symop_operation_xyz
'x,y,z'
loop_
_atom_site_label
_atom_site_fract_x
_atom_site_fract_y
_atom_site_fract_z
Ru1 0.000 0.000 0.000
Ru2 0.500 0.500 0.197
Se1 0.000 0.000 0.393
Cl1 0.500 0.500 0.804
```

Properties
The mass density comes out at 7.197 g cm⁻³. The space group is P4mm (99).



Computed, not measured: RuSeCl2 after structural relaxation at the PBE level of DFT.

```
data_RuSeCl2
_chemical_formula_sum 'Ru1 Se1 Cl2'
_cell_length_a 3.708
_cell_length_b 3.708
_cell_length_c 8.136
_cell_angle_alpha 90.49
_cell_angle_beta 90.49
_cell_angle_gamma 59.99
_space_group_name_H-M_alt 'P 1'
_space_group_IT_number 1
loop_
_space_group_symop_operation_xyz
'x,y,z'
loop_
_atom_site_label
_atom_site_fract_x
_atom_site_fract_y
_atom_site_fract_z
Ru1 0.000 0.000 0.000
Se1 0.335 0.335 0.127
Cl1 0.338 0.338 0.403
Cl2 0.664 0.664 0.823
```

Properties
The mass density comes out at 4.303 g cm⁻³. The space group is Cm (8).



Computed, not measured: RuSeCl2 after structural relaxation at the PBE level of DFT.

```
data_RuSeCl2
_chemical_formula_sum 'Ru1 Se1 Cl2'
_cell_length_a 5.000
_cell_length_b 5.000
_cell_length_c 3.082
_cell_angle_alpha 90.00
_cell_angle_beta 90.00
_cell_angle_gamma 90.00
_space_group_name_H-M_alt 'P 1'
_space_group_IT_number 1
loop_
_space_group_symop_operation_xyz
'x,y,z'
loop_
_atom_site_label
_atom_site_fract_x
_atom_site_fract_y
_atom_site_fract_z
Ru1 0.000 0.000 0.000
Se1 0.500 0.500 0.000
Cl1 0.000 0.500 0.500
Cl2 0.500 0.000 0.500
```

Properties
The mass density comes out at 5.408 g cm⁻³. The space group is P4/mmm (123).



Computed, not measured: RuSeCl2 after structural relaxation at the PBE level of DFT.

```
data_RuSeCl2
_chemical_formula_sum 'Ru1 Se1 Cl2'
_cell_length_a 3.018
_cell_length_b 3.018
_cell_length_c 9.473
_cell_angle_alpha 90.00
_cell_angle_beta 90.00
_cell_angle_gamma 90.00
_space_group_name_H-M_alt 'P 1'
_space_group_IT_number 1
loop_
_space_group_symop_operation_xyz
'x,y,z'
loop_
_atom_site_label
_atom_site_fract_x
_atom_site_fract_y
_atom_site_fract_z
Ru1 0.000 0.000 0.000
Se1 0.500 0.500 0.147
Cl1 0.000 0.000 0.440
Cl2 0.500 0.500 0.818
```

Properties
The mass density comes out at 4.831 g cm⁻³. The space group is P4mm (99).



Computed, not measured: RuSeCl after structural relaxation at the PBE level of DFT.

```
data_RuSeCl
_chemical_formula_sum 'Ru1 Se1 Cl1'
_cell_length_a 4.425
_cell_length_b 4.425
_cell_length_c 4.425
_cell_angle_alpha 60.00
_cell_angle_beta 60.00
_cell_angle_gamma 60.00
_space_group_name_H-M_alt 'P 1'
_space_group_IT_number 1
loop_
_space_group_symop_operation_xyz
'x,y,z'
loop_
_atom_site_label
_atom_site_fract_x
_atom_site_fract_y
_atom_site_fract_z
Ru1 0.000 0.000 0.000
Se1 0.250 0.250 0.250
Cl1 0.500 0.500 0.500
```

Properties
The mass density comes out at 5.840 g cm⁻³. The space group is F-43m (216).



Computed, not measured: RuSe2Cl8 after structural relaxation at the PBE level of DFT.

```
data_RuSe2Cl8
_chemical_formula_sum 'Ru1 Se2 Cl8'
_cell_length_a 7.212
_cell_length_b 7.664
_cell_length_c 7.683
_cell_angle_alpha 91.65
_cell_angle_beta 116.49
_cell_angle_gamma 90.05
_space_group_name_H-M_alt 'P 1'
_space_group_IT_number 1
loop_
_space_group_symop_operation_xyz
'x,y,z'
loop_
_atom_site_label
_atom_site_fract_x
_atom_site_fract_y
_atom_site_fract_z
Ru1 0.000 0.000 0.000
Se1 0.231 0.824 0.285
Se2 0.769 0.176 0.715
Cl1 0.055 0.596 0.297
Cl2 0.101 0.911 0.765
Cl3 0.300 0.171 0.155
Cl4 0.457 0.696 0.210
Cl5 0.543 0.304 0.790
Cl6 0.700 0.829 0.845
Cl7 0.899 0.089 0.235
Cl8 0.945 0.404 0.703
```

Properties
The mass density comes out at 2.372 g cm⁻³. The space group is P-1 (2).



Computed, not measured: Ru2SeCl after structural relaxation at the PBE level of DFT.

```
data_Ru2SeCl
_chemical_formula_sum 'Ru2 Se1 Cl1'
_cell_length_a 4.486
_cell_length_b 4.486
_cell_length_c 4.486
_cell_angle_alpha 60.00
_cell_angle_beta 60.00
_cell_angle_gamma 60.00
_space_group_name_H-M_alt 'P 1'
_space_group_IT_number 1
loop_
_space_group_symop_operation_xyz
'x,y,z'
loop_
_atom_site_label
_atom_site_fract_x
_atom_site_fract_y
_atom_site_fract_z
Ru1 0.000 0.000 0.000
Ru2 0.250 0.250 0.250
Se1 0.750 0.750 0.750
Cl1 0.500 0.500 0.500
```

Properties
The mass density comes out at 8.237 g cm⁻³. The space group is F-43m (216).



Computed, not measured: RuSe3Cl after structural relaxation at the PBE level of DFT.

```
data_RuSe3Cl
_chemical_formula_sum 'Ru1 Se3 Cl1'
_cell_length_a 4.923
_cell_length_b 4.923
_cell_length_c 4.923
_cell_angle_alpha 90.00
_cell_angle_beta 90.00
_cell_angle_gamma 90.00
_space_group_name_H-M_alt 'P 1'
_space_group_IT_number 1
loop_
_space_group_symop_operation_xyz
'x,y,z'
loop_
_atom_site_label
_atom_site_fract_x
_atom_site_fract_y
_atom_site_fract_z
Ru1 0.000 0.000 0.000
Se1 0.000 0.500 0.500
Se2 0.500 0.000 0.500
Se3 0.500 0.500 0.000
Cl1 0.500 0.500 0.500
```

Properties
The mass density comes out at 5.198 g cm⁻³. The space group is Pm-3m (221).



Computed, not measured: Ru2SeCl after structural relaxation at the PBE level of DFT.

```
data_Ru2SeCl
_chemical_formula_sum 'Ru2 Se1 Cl1'
_cell_length_a 3.040
_cell_length_b 3.793
_cell_length_c 6.332
_cell_angle_alpha 90.00
_cell_angle_beta 90.00
_cell_angle_gamma 90.00
_space_group_name_H-M_alt 'P 1'
_space_group_IT_number 1
loop_
_space_group_symop_operation_xyz
'x,y,z'
loop_
_atom_site_label
_atom_site_fract_x
_atom_site_fract_y
_atom_site_fract_z
Ru1 0.000 0.000 0.000
Ru2 0.500 0.500 0.209
Se1 0.000 0.000 0.375
Cl1 0.500 0.500 0.839
```

Properties
The mass density comes out at 7.201 g cm⁻³. The space group is Pmm2 (25).



Computed, not measured: Ru2SeCl after structural relaxation at the PBE level of DFT.

```
data_Ru2SeCl
_chemical_formula_sum 'Ru2 Se1 Cl1'
_cell_length_a 3.103
_cell_length_b 3.807
_cell_length_c 6.330
_cell_angle_alpha 90.00
_cell_angle_beta 99.68
_cell_angle_gamma 90.00
_space_group_name_H-M_alt 'P 1'
_space_group_IT_number 1
loop_
_space_group_symop_operation_xyz
'x,y,z'
loop_
_atom_site_label
_atom_site_fract_x
_atom_site_fract_y
_atom_site_fract_z
Ru1 0.188 0.000 0.316
Ru2 0.812 0.000 0.684
Se1 0.500 0.500 0.500
Cl1 0.000 0.500 0.000
```

Properties
The mass density comes out at 7.132 g cm⁻³. The space group is P2/m (10).



Computed, not measured: Ru2SeCl after structural relaxation at the PBE level of DFT.

```
data_Ru2SeCl
_chemical_formula_sum 'Ru2 Se1 Cl1'
_cell_length_a 4.887
_cell_length_b 4.887
_cell_length_c 6.500
_cell_angle_alpha 93.12
_cell_angle_beta 93.12
_cell_angle_gamma 36.60
_space_group_name_H-M_alt 'P 1'
_space_group_IT_number 1
loop_
_space_group_symop_operation_xyz
'x,y,z'
loop_
_atom_site_label
_atom_site_fract_x
_atom_site_fract_y
_atom_site_fract_z
Ru1 0.000 0.000 0.000
Ru2 0.732 0.732 0.027
Se1 0.351 0.351 0.779
Cl1 0.587 0.587 0.311
```

Properties
The mass density comes out at 5.687 g cm⁻³. The space group is Cm (8).



Computed, not measured: RuSeCl after structural relaxation at the PBE level of DFT.

```
data_RuSeCl
_chemical_formula_sum 'Ru1 Se1 Cl1'
_cell_length_a 3.641
_cell_length_b 3.641
_cell_length_c 5.900
_cell_angle_alpha 90.00
_cell_angle_beta 90.00
_cell_angle_gamma 120.00
_space_group_name_H-M_alt 'P 1'
_space_group_IT_number 1
loop_
_space_group_symop_operation_xyz
'x,y,z'
loop_
_atom_site_label
_atom_site_fract_x
_atom_site_fract_y
_atom_site_fract_z
Ru1 0.000 0.000 0.000
Se1 0.667 0.333 0.194
Cl1 0.333 0.667 0.742
```

Properties
The mass density comes out at 5.283 g cm⁻³. The space group is P3m1 (156).



Computed, not measured: RuSe4Cl after structural relaxation at the PBE level of DFT.

```
data_RuSe4Cl
_chemical_formula_sum 'Ru1 Se4 Cl1'
_cell_length_a 5.639
_cell_length_b 5.639
_cell_length_c 5.639
_cell_angle_alpha 60.00
_cell_angle_beta 60.00
_cell_angle_gamma 60.00
_space_group_name_H-M_alt 'P 1'
_space_group_IT_number 1
loop_
_space_group_symop_operation_xyz
'x,y,z'
loop_
_atom_site_label
_atom_site_fract_x
_atom_site_fract_y
_atom_site_fract_z
Ru1 0.000 0.000 0.000
Se1 0.125 0.625 0.625
Se2 0.625 0.125 0.625
Se3 0.625 0.625 0.125
Se4 0.625 0.625 0.625
Cl1 0.250 0.250 0.250
```

Properties
The mass density comes out at 5.924 g cm⁻³. The space group is F-43m (216).



Computed, not measured: RuSeCl2 after structural relaxation at the PBE level of DFT.

```
data_RuSeCl2
_chemical_formula_sum 'Ru1 Se1 Cl2'
_cell_length_a 6.970
_cell_length_b 6.970
_cell_length_c 3.549
_cell_angle_alpha 90.00
_cell_angle_beta 90.00
_cell_angle_gamma 140.25
_space_group_name_H-M_alt 'P 1'
_space_group_IT_number 1
loop_
_space_group_symop_operation_xyz
'x,y,z'
loop_
_atom_site_label
_atom_site_fract_x
_atom_site_fract_y
_atom_site_fract_z
Ru1 0.000 0.000 0.000
Se1 0.500 0.500 0.000
Cl1 0.125 0.875 0.500
Cl2 0.875 0.125 0.500
```

Properties
The mass density comes out at 3.780 g cm⁻³. The space group is Cmmm (65).



Computed, not measured: RuSe2Cl after structural relaxation at the PBE level of DFT.

```
data_RuSe2Cl
_chemical_formula_sum 'Ru1 Se2 Cl1'
_cell_length_a 3.022
_cell_length_b 3.022
_cell_length_c 11.264
_cell_angle_alpha 90.00
_cell_angle_beta 90.00
_cell_angle_gamma 122.36
_space_group_name_H-M_alt 'P 1'
_space_group_IT_number 1
loop_
_space_group_symop_operation_xyz
'x,y,z'
loop_
_atom_site_label
_atom_site_fract_x
_atom_site_fract_y
_atom_site_fract_z
Ru1 0.000 0.000 0.000
Se1 0.000 0.000 0.511
Se2 0.500 0.500 0.822
Cl1 0.500 0.500 0.171
```

Properties
The mass density comes out at 5.628 g cm⁻³. The space group is Cmm2 (35).



Computed, not measured: RuSeCl after structural relaxation at the PBE level of DFT.

```
data_RuSeCl
_chemical_formula_sum 'Ru1 Se1 Cl1'
_cell_length_a 6.839
_cell_length_b 6.839
_cell_length_c 6.839
_cell_angle_alpha 154.18
_cell_angle_beta 154.18
_cell_angle_gamma 36.84
_space_group_name_H-M_alt 'P 1'
_space_group_IT_number 1
loop_
_space_group_symop_operation_xyz
'x,y,z'
loop_
_atom_site_label
_atom_site_fract_x
_atom_site_fract_y
_atom_site_fract_z
Ru1 0.000 0.000 0.000
Se1 0.396 0.396 0.000
Cl1 0.635 0.635 0.000
```

Properties
The mass density comes out at 5.904 g cm⁻³. The space group is I4mm (107).



What are the formation energy (no corrections) values for these records? In order: 0.664; -0.107; 0.084; 0.060; 0.183; -0.335; 0.927; 0.112; 0.977; -0.353; 0.872; 1.435; 0.289; 0.525; 0.258; -0.274; 0.889; -0.213; 0.335; -0.001 eV per atom.